VASP calculation (GGA-PBE) on a relaxed BaAlSb2 crystal.

Size of the total moment   0.00 Bohr magnetons per cell
Volume   30.03 Å³ per atom
Final energy   -3.74 eV per atom
Formation energy (no corrections)   -0.262 eV/atom
Crystal system   tetragonal

abc: 6.1089 6.1089 6.1089
angles: 132.90 132.90 68.82
Positions (direct):
Al  0.2500  0.7500  0.5000
Sb  0.0000  0.0000  0.0000
Ba  0.7500  0.2500  0.5000
Sb  0.5000  0.5000  0.0000